[1]
# CuBiF2

A geometry-optimized CuBiF2 structure (PBE, the Alexandria database).

Output
Raw total energy, eV/f.u.: -16.27
Energy relative to the elements, uncorrected, eV/f.u.: -4.5

Lattice parameters (Å, degrees): 7.2072 7.2072 7.2072 27.20 27.20 27.20
Element x y z (fractional)
Cu (0.0000, 0.0000, 0.0000)
Bi (0.5000, 0.5000, 0.5000)
F (0.3845, 0.3845, 0.3845)
F (0.6155, 0.6155, 0.6155)

---

[2]
# Cu2BiF8

A geometry-optimized Cu2BiF8 structure (PBE, the Alexandria database).

Output
Raw total energy, eV/f.u.: -45.50
Energy relative to the elements, uncorrected, eV/f.u.: -18.5

Lattice parameters (Å, degrees): 6.7708 6.7708 3.8916 90.00 90.00 120.00
Element x y z (fractional)
Cu (0.3333, 0.6667, 0.2377)
Cu (0.6667, 0.3333, 0.7623)
Bi (0.0000, 0.0000, 0.5000)
F (0.1664, 0.3344, 0.2366)
F (0.1679, 0.8336, 0.2366)
F (0.3333, 0.6667, 0.7390)
F (0.3344, 0.1679, 0.7634)
F (0.6656, 0.8321, 0.2366)
F (0.6667, 0.3333, 0.2610)
F (0.8321, 0.1664, 0.7634)
F (0.8336, 0.6656, 0.7634)

---

no.,energy relative to the lowest polymorph listed for this composition (meV per atom)
1,0
2,111